1.
{
  "formula": "CsMgIn2Ir",
  "functional": "GGA-PBE",
  "state": "relaxed",
  "energy_ev_per_atom": -3.54,
  "spacegroup": "P4/mmm (123)",
  "crystal_system": "tetragonal",
  "cell": [[5.2744, 0.0000, 0.0000], [0.0000, 5.2744, 0.0000], [0.0000, 0.0000, 5.3136]],
  "species": ["Cs", "Mg", "In", "In", "Ir"],
  "fractional_positions": [[0.0000, 0.0000, 0.0000], [0.5000, 0.5000, 0.0000], [0.0000, 0.5000, 0.5000], [0.5000, 0.0000, 0.5000], [0.5000, 0.5000, 0.5000]]
}

---

2.
{
  "formula": "CsIn2IrN",
  "functional": "GGA-PBE",
  "state": "relaxed",
  "formation_energy_uncorrected_mev_per_atom": 484,
  "spacegroup": "P4/mmm (123)",
  "crystal_system": "tetragonal",
  "cell": [[5.9742, 0.0000, 0.0000], [0.0000, 5.9742, 0.0000], [0.0000, 0.0000, 3.7431]],
  "species": ["Cs", "In", "In", "Ir", "N"],
  "fractional_positions": [[0.0000, 0.0000, 0.0000], [0.0000, 0.5000, 0.5000], [0.5000, 0.0000, 0.5000], [0.5000, 0.5000, 0.0000], [0.5000, 0.5000, 0.5000]]
}

---

3.
{
  "formula": "CsNaIn2Ir",
  "functional": "GGA-PBE",
  "state": "relaxed",
  "energy_ev_per_atom": -3.38,
  "spacegroup": "P4/mmm (123)",
  "crystal_system": "tetragonal",
  "cell": [[5.2343, 0.0000, 0.0000], [0.0000, 5.2343, 0.0000], [0.0000, 0.0000, 5.8735]],
  "species": ["Cs", "Na", "In", "In", "Ir"],
  "fractional_positions": [[0.0000, 0.0000, 0.0000], [0.5000, 0.5000, 0.0000], [0.0000, 0.5000, 0.5000], [0.5000, 0.0000, 0.5000], [0.5000, 0.5000, 0.5000]]
}

---

no.,magnetic moment (μB/f.u.)
1,0.00
2,0.00
3,0.00